[1]
The following is a DFT calculation (SCAN) of a PBEsol-optimized structure of BaTa3.

The total magnetization is 0.00 μB/f.u. For the energy above the most stable polymorph in this dataset, the calculation gives 324 meV/atom.

The space group is Cmmm (No. 65) and the conventional cell measures 5.8379, 10.1260 and 2.8463 Å, with angles of 90.00, 90.00 and 90.00 degrees. The asymmetric unit holds Ba at (0.0000, 0.0000, 0.0000), Ta at (0.0000, 0.5000, 0.0000) and Ta at (0.2500, 0.2500, 0.5000).

***

[2]
The following is a DFT calculation (SCAN) of a PBEsol-optimized structure of Ba2TaTc.

The total magnetization is 2.21 μB/f.u. For the energy above the most stable polymorph in this dataset, the calculation gives 1022 meV/atom.

The space group is R-3m (No. 166, hexagonal axes) and the conventional cell measures 3.2442, 3.2442 and 33.2047 Å, with angles of 90.00, 90.00 and 120.00 degrees. The asymmetric unit holds Ba at (0.0000, 0.0000, 0.2444), Ta at (0.0000, 0.0000, 0.0000) and Tc at (0.0000, 0.0000, 0.5000).

***

[3]
The following is a DFT calculation (SCAN) of a PBEsol-optimized structure of Ba4TaTc.

The total energy comes out at -997.04 eV per cell. The total magnetization is 7.29 μB/f.u.

The space group is F-43m (No. 216) and the conventional cell measures 9.4312, 9.4312 and 9.4312 Å, with angles of 90.00, 90.00 and 90.00 degrees. The asymmetric unit holds Ba at (0.1251, 0.1251, 0.1251), Ta at (0.2500, 0.2500, 0.7500) and Tc at (0.0000, 0.0000, 0.5000).

***

[4]
The following is a DFT calculation (SCAN) of a PBEsol-optimized structure of Ba2TaTc.

The total magnetization is 0.00 μB/f.u. For the energy above the most stable polymorph in this dataset, the calculation gives 890 meV/atom.

The space group is Pmmm (No. 47) and the conventional cell measures 3.0184, 5.5676 and 5.9454 Å, with angles of 90.00, 90.00 and 90.00 degrees. The asymmetric unit holds Ba at (0.0000, 0.0000, 0.2481), Ta at (0.5000, 0.5000, 0.5000) and Tc at (0.5000, 0.5000, 0.0000).

***

[5]
The following is a DFT calculation (SCAN) of a PBEsol-optimized structure of BaTa2Tc.

The total magnetization is 0.00 μB/f.u. For the energy above the most stable polymorph in this dataset, the calculation gives 0 meV/atom.

The space group is Imm2 (No. 44) and the conventional cell measures 3.2285, 4.3336 and 14.4640 Å, with angles of 90.00, 90.00 and 90.00 degrees. The asymmetric unit holds Ba at (0.0000, 0.0000, 0.0000), Ta at (0.0000, 0.0000, 0.6668), Ta at (0.0000, 0.5000, 0.7859) and Tc at (0.0000, 0.5000, 0.2971).

***

[6]
The following is a DFT calculation (SCAN) of a PBEsol-optimized structure of BaTa3Tc.

The total energy comes out at -257.04 eV per cell. The total magnetization is 2.99 μB/f.u.

The space group is Pm-3m (No. 221) and the conventional cell measures 4.9222, 4.9222 and 4.9222 Å, with angles of 90.00, 90.00 and 90.00 degrees. The asymmetric unit holds Ba at (0.0000, 0.0000, 0.0000), Ta at (0.0000, 0.0000, 0.5000) and Tc at (0.5000, 0.5000, 0.5000).

***

[7]
The following is a DFT calculation (SCAN) of a PBEsol-optimized structure of BaTa2Tc.

The total magnetization is 0.00 μB/f.u. For the energy above the most stable polymorph in this dataset, the calculation gives 533 meV/atom.

The space group is C2/m (No. 12) and the conventional cell measures 5.6512, 9.7920 and 2.9485 Å, with angles of 90.00, 107.52 and 90.00 degrees. The asymmetric unit holds Ba at (0.0000, 0.0000, 0.0000), Ta at (0.2500, 0.2500, 0.5000) and Tc at (0.0000, 0.5000, 0.0000).

***

[8]
The following is a DFT calculation (SCAN) of a PBEsol-optimized structure of BaTaTc.

The total energy comes out at -138.90 eV per cell. The total magnetization is 0.00 μB/f.u.

The space group is P3m1 (No. 156) and the conventional cell measures 3.2883, 3.2883 and 7.5181 Å, with angles of 90.00, 90.00 and 120.00 degrees. The asymmetric unit holds Ba at (0.0000, 0.0000, 0.0000), Ta at (0.3333, 0.6667, 0.5800) and Tc at (0.6667, 0.3333, 0.3643).